[1]
First-principles (PBE) data for a relaxed structure of ZrCo4P2, as listed in the Alexandria database.

a = 6.905 Å, b = 6.905 Å, c = 3.537 Å
α = 90.00°, β = 90.00°, γ = 90.00°
Positions (direct):
Zr 0.000 0.000 0.000
Zr 0.500 0.500 0.500
Co 0.080 0.337 0.500
Co 0.163 0.580 0.000
Co 0.337 0.080 0.500
Co 0.420 0.837 0.000
Co 0.580 0.163 0.000
Co 0.663 0.920 0.500
Co 0.837 0.420 0.000
Co 0.920 0.663 0.500
P 0.223 0.777 0.500
P 0.277 0.277 0.000
P 0.723 0.723 0.000
P 0.777 0.223 0.500

Results
* uncorrected energy: -106.0 eV per cell
* SG: P4_2/mnm, No. 136
* E_form: -0.75 eV per atom


[2]
First-principles (PBE) data for a relaxed structure of ZrCo2P, as listed in the Alexandria database.

a = 3.210 Å, b = 3.210 Å, c = 5.340 Å
α = 90.00°, β = 90.00°, γ = 90.00°
Positions (direct):
Zr 0.000 0.000 0.000
Co 0.500 0.500 0.277
Co 0.500 0.500 0.723
P 0.000 0.000 0.500

Results
* uncorrected energy: -29.2 eV per cell
* SG: P4/mmm, No. 123
* E_form: -0.26 eV per atom


[3]
First-principles (PBE) data for a relaxed structure of ZrCo2P, as listed in the Alexandria database.

a = 4.421 Å, b = 4.421 Å, c = 4.421 Å
α = 131.45°, β = 120.80°, γ = 79.97°
Positions (direct):
Zr 0.000 0.000 0.000
Co 0.288 0.788 0.500
Co 0.712 0.212 0.500
P 0.500 0.500 0.000

Results
* uncorrected energy: -29.8 eV per cell
* SG: Immm, No. 71
* E_form: -0.40 eV per atom


[4]
First-principles (PBE) data for a relaxed structure of ZrCo2P, as listed in the Alexandria database.

a = 3.048 Å, b = 3.048 Å, c = 5.903 Å
α = 90.00°, β = 90.00°, γ = 90.00°
Positions (direct):
Zr 0.000 0.000 0.000
Co 0.000 0.000 0.522
Co 0.500 0.500 0.275
P 0.500 0.500 0.660

Results
* uncorrected energy: -29.4 eV per cell
* SG: P4mm, No. 99
* E_form: -0.30 eV per atom


[5]
First-principles (PBE) data for a relaxed structure of ZrCo2P, as listed in the Alexandria database.

a = 2.814 Å, b = 2.814 Å, c = 6.644 Å
α = 90.00°, β = 90.00°, γ = 90.00°
Positions (direct):
Zr 0.000 0.000 0.000
Co 0.500 0.500 0.311
Co 0.500 0.500 0.689
P 0.000 0.000 0.500

Results
* uncorrected energy: -29.4 eV per cell
* SG: P4/mmm, No. 123
* E_form: -0.30 eV per atom


[6]
First-principles (PBE) data for a relaxed structure of Zr6Co2P, as listed in the Alexandria database.

a = 7.122 Å, b = 7.122 Å, c = 3.847 Å
α = 90.00°, β = 90.00°, γ = 120.00°
Positions (direct):
Zr 0.000 0.398 0.000
Zr 0.000 0.733 0.500
Zr 0.267 0.267 0.500
Zr 0.398 0.000 0.000
Zr 0.602 0.602 0.000
Zr 0.733 0.000 0.500
Co 0.333 0.667 0.500
Co 0.667 0.333 0.500
P 0.000 0.000 0.000

Results
* uncorrected energy: -74.6 eV per cell
* SG: P-62m, No. 189
* E_form: -0.41 eV per atom


[7]
First-principles (PBE) data for a relaxed structure of ZrCo2P, as listed in the Alexandria database.

a = 4.900 Å, b = 4.900 Å, c = 3.730 Å
α = 111.75°, β = 111.75°, γ = 115.73°
Positions (direct):
Zr 0.000 0.000 0.000
Co 0.000 0.500 0.500
Co 0.500 0.000 0.500
P 0.500 0.500 0.000

Results
* uncorrected energy: -28.7 eV per cell
* SG: C2/m, No. 12
* E_form: -0.13 eV per atom


[8]
First-principles (PBE) data for a relaxed structure of ZrCo2P, as listed in the Alexandria database.

a = 4.934 Å, b = 4.934 Å, c = 4.934 Å
α = 45.66°, β = 45.66°, γ = 45.66°
Positions (direct):
Zr 0.000 0.000 0.000
Co 0.208 0.208 0.208
Co 0.443 0.443 0.443
P 0.802 0.802 0.802

Results
* uncorrected energy: -30.4 eV per cell
* SG: R3m, No. 160
* E_form: -0.57 eV per atom